Entry 1:
Here is a relaxed MgTl2Pt crystal from the Alexandria database. Energies are from PBE.

Unit cell a=5.325 b=5.325 c=5.325 alpha=130.25 beta=130.25 gamma=73.01
Positions (direct):
Mg (0.000, 0.000, 0.000)
Tl (0.250, 0.750, 0.500)
Tl (0.750, 0.250, 0.500)
Pt (0.500, 0.500, 0.000)

Results
offset from the most stable computed form = 191.4 meV/atom
calculated formation energy = -0.0341 eV per atom
electronic total energy = -3.126 eV per atom



Entry 2:
Here is a relaxed MgTl2Pt crystal from the Alexandria database. Energies are from PBE.

Unit cell a=5.134 b=5.134 c=4.961 alpha=104.78 beta=104.78 gamma=44.45
Positions (direct):
Mg (0.000, 0.000, 0.000)
Tl (0.235, 0.235, 0.733)
Tl (0.765, 0.765, 0.267)
Pt (0.500, 0.500, 0.500)

Results
offset from the most stable computed form = 168.3 meV/atom
calculated formation energy = -0.0572 eV per atom
electronic total energy = -3.149 eV per atom